(1)
Ce3Dy2ErS6 | PBE-GGA | relaxed

Geometry as POSCAR:
```
Ce3Dy2ErS6
1.0
3.407 -5.906 0.000
3.407 5.906 0.000
-2.276 0.000 6.546
Ce Dy Er S
3 2 1 6
direct
0.000 0.000 0.000
0.332 0.668 0.000
0.668 0.332 0.000
0.167 0.833 0.500
0.833 0.167 0.500
0.500 0.500 0.500
0.090 0.421 0.264
0.248 0.248 0.737
0.421 0.090 0.264
0.579 0.910 0.736
0.752 0.752 0.263
0.910 0.579 0.736
```

Symmetry: C2/m, No. 12
Formation energy without anion corrections, eV/atom: -2.0255


(2)
LiTiMn4 | PBE-GGA | relaxed

Geometry as POSCAR:
```
LiTiMn4
1.0
0.000 3.328 3.328
3.328 0.000 3.328
3.328 3.328 0.000
Li Ti Mn
1 1 4
direct
0.000 0.000 0.000
0.250 0.250 0.250
0.123 0.626 0.626
0.626 0.123 0.626
0.626 0.626 0.123
0.626 0.626 0.626
```

Symmetry: F-43m, No. 216
Energy of formation, meV/atom: 63